12
Lattice="3.227 -5.790 0.000 3.227 5.790 0.000 0.000 0.000 5.997" Properties=species:S:1:pos:R:3 comment="YZnGa3Co, optimized geometry, DFT PBE" formation_enthalpy_0k_ev_per_atom=-0.092 spacegroup="Cmcm (63)" magmom_total_mub_per_atom=0.00 e_tot_ev_per_atom=-4.079 pbc="T T T"
Y 3.227 3.381 4.498
Y 3.227 -3.381 1.499
Zn 3.227 0.561 4.498
Zn 3.227 -0.561 1.499
Ga 1.281 0.000 0.000
Ga 1.281 0.000 2.999
Ga 3.227 2.037 1.499
Ga 3.227 -2.037 4.498
Ga 5.174 0.000 0.000
Ga 5.174 0.000 2.999
Co 3.227 4.357 1.499
Co 3.227 -4.357 4.498